(1)
VASP calculation (PBE) on a relaxed structure of NaMg2SI.

Cell and atoms, written as CIF:
```
data_NaMg2SI
_chemical_formula_sum 'Na1 Mg2 S1 I1'
_cell_length_a 5.723
_cell_length_b 5.723
_cell_length_c 5.512
_cell_angle_alpha 90.00
_cell_angle_beta 90.00
_cell_angle_gamma 90.00
_space_group_name_H-M_alt 'P 4/m m m'
_space_group_IT_number 123
_space_group_name_Hall '-P 4 2'
loop_
_atom_site_label
_atom_site_type_symbol
_atom_site_fract_x
_atom_site_fract_y
_atom_site_fract_z
Na1 Na 0.000 0.000 0.000
Mg1 Mg 0.000 0.500 0.500
S1 S 0.500 0.500 0.000
I1 I 0.500 0.500 0.500
```

Results
Its raw total energy is -1.7187 eV/atom. As for the calculated volume: 36.1 Å³/atom. The total moment comes out at 0.000 μB/f.u. As for the density of states at the Fermi level: 2.52 states/eV/cell. The formation energy from raw total energies is 0.32 eV per atom.

(2)
VASP calculation (PBE) on a relaxed structure of NaMgSbI2.

Cell and atoms, written as CIF:
```
data_NaMgSbI2
_chemical_formula_sum 'Na1 Mg1 Sb1 I2'
_cell_length_a 5.790
_cell_length_b 5.790
_cell_length_c 6.060
_cell_angle_alpha 90.00
_cell_angle_beta 90.00
_cell_angle_gamma 90.00
_space_group_name_H-M_alt 'P 4/m m m'
_space_group_IT_number 123
_space_group_name_Hall '-P 4 2'
loop_
_atom_site_label
_atom_site_type_symbol
_atom_site_fract_x
_atom_site_fract_y
_atom_site_fract_z
Na1 Na 0.000 0.000 0.000
Mg1 Mg 0.500 0.500 0.500
Sb1 Sb 0.000 0.000 0.500
I1 I 0.000 0.500 0.000
```

Results
Its raw total energy is -1.8603 eV/atom. As for the calculated volume: 40.6 Å³/atom. The total moment comes out at 1.962 μB/f.u. As for the density of states at the Fermi level: 3.02 states/eV/cell. The formation energy from raw total energies is 0.17 eV per atom.

(3)
VASP calculation (PBE) on a relaxed structure of NaMgSbI2.

Cell and atoms, written as CIF:
```
data_NaMgSbI2
_chemical_formula_sum 'Na1 Mg1 Sb1 I2'
_cell_length_a 5.994
_cell_length_b 5.994
_cell_length_c 5.614
_cell_angle_alpha 90.00
_cell_angle_beta 90.00
_cell_angle_gamma 90.00
_space_group_name_H-M_alt 'P 4/m m m'
_space_group_IT_number 123
_space_group_name_Hall '-P 4 2'
loop_
_atom_site_label
_atom_site_type_symbol
_atom_site_fract_x
_atom_site_fract_y
_atom_site_fract_z
Na1 Na 0.000 0.000 0.000
Mg1 Mg 0.500 0.500 0.500
Sb1 Sb 0.500 0.500 0.000
I1 I 0.000 0.500 0.500
```

Results
Its raw total energy is -2.3732 eV/atom. As for the calculated volume: 40.3 Å³/atom. The total moment comes out at 1.924 μB/f.u. As for the density of states at the Fermi level: 1.37 states/eV/cell. The formation energy from raw total energies is -0.35 eV per atom.

(4)
VASP calculation (PBE) on a relaxed structure of NaMgSb2I.

Cell and atoms, written as CIF:
```
data_NaMgSb2I
_chemical_formula_sum 'Na1 Mg1 Sb2 I1'
_cell_length_a 5.409
_cell_length_b 5.409
_cell_length_c 6.242
_cell_angle_alpha 90.00
_cell_angle_beta 90.00
_cell_angle_gamma 90.00
_space_group_name_H-M_alt 'P 4/m m m'
_space_group_IT_number 123
_space_group_name_Hall '-P 4 2'
loop_
_atom_site_label
_atom_site_type_symbol
_atom_site_fract_x
_atom_site_fract_y
_atom_site_fract_z
Na1 Na 0.000 0.000 0.000
Mg1 Mg 0.500 0.500 0.500
Sb1 Sb 0.000 0.500 0.500
I1 I 0.500 0.500 0.000
```

Results
Its raw total energy is -2.5193 eV/atom. As for the calculated volume: 36.5 Å³/atom. The total moment comes out at 0.000 μB/f.u. As for the density of states at the Fermi level: 4.67 states/eV/cell. The formation energy from raw total energies is 0.02 eV per atom.

(5)
VASP calculation (PBE) on a relaxed structure of NaMgSb2I.

Cell and atoms, written as CIF:
```
data_NaMgSb2I
_chemical_formula_sum 'Na1 Mg1 Sb2 I1'
_cell_length_a 5.519
_cell_length_b 5.519
_cell_length_c 5.759
_cell_angle_alpha 90.00
_cell_angle_beta 90.00
_cell_angle_gamma 90.00
_space_group_name_H-M_alt 'P 4/m m m'
_space_group_IT_number 123
_space_group_name_Hall '-P 4 2'
loop_
_atom_site_label
_atom_site_type_symbol
_atom_site_fract_x
_atom_site_fract_y
_atom_site_fract_z
Na1 Na 0.000 0.000 0.000
Mg1 Mg 0.500 0.500 0.500
Sb1 Sb 0.000 0.500 0.000
I1 I 0.000 0.000 0.500
```

Results
Its raw total energy is -2.0229 eV/atom. As for the calculated volume: 35.1 Å³/atom. The total moment comes out at 0.679 μB/f.u. As for the density of states at the Fermi level: 5.67 states/eV/cell. The formation energy from raw total energies is 0.52 eV per atom.

(6)
VASP calculation (PBE) on a relaxed structure of NaSmMgI6.

Cell and atoms, written as CIF:
```
data_NaSmMgI6
_chemical_formula_sum 'Na2 Sm2 Mg2 I12'
_cell_length_a 7.7013
_cell_length_b 7.7013
_cell_length_c 14.4685
_cell_angle_alpha 90.00
_cell_angle_beta 90.00
_cell_angle_gamma 120.00
_space_group_name_H-M_alt 'P -3 1 c'
_space_group_IT_number 163
_space_group_name_Hall '-P 3 2c'
loop_
_atom_site_label
_atom_site_type_symbol
_atom_site_fract_x
_atom_site_fract_y
_atom_site_fract_z
Na1 Na 0.0000 0.0000 0.0000
Sm1 Sm 0.3333 0.6667 0.2500
Mg1 Mg 0.3333 0.6667 0.7500
I1 I 0.0140 0.3619 0.6307
```

Results
Its raw total energy is -3.1095 eV/atom. As for the calculated volume: 41.3 Å³/atom. The total moment comes out at 0.000 μB/f.u. As for the density of states at the Fermi level: 0.00 states/eV/cell. The formation energy from raw total energies is -1.23 eV per atom.

(7)
VASP calculation (PBE) on a relaxed structure of Na2SrMgI6.

Cell and atoms, written as CIF:
```
data_Na2SrMgI6
_chemical_formula_sum 'Na2 Sr1 Mg1 I6'
_cell_length_a 8.563
_cell_length_b 8.563
_cell_length_c 6.664
_cell_angle_alpha 90.00
_cell_angle_beta 90.00
_cell_angle_gamma 90.00
_space_group_name_H-M_alt 'P 4 m m'
_space_group_IT_number 99
loop_
_space_group_symop_operation_xyz
'x,y,z'
'-y,x,z'
'-x,-y,z'
'y,-x,z'
'-x,y,z'
'y,x,z'
'x,-y,z'
'-y,-x,z'
loop_
_atom_site_label
_atom_site_type_symbol
_atom_site_fract_x
_atom_site_fract_y
_atom_site_fract_z
Na1 Na 0.000 0.500 0.000
Sr1 Sr 0.000 0.000 0.730
Mg1 Mg 0.500 0.500 0.705
I1 I 0.000 0.000 0.250
I2 I 0.266 0.266 0.827
I3 I 0.500 0.500 0.305
```

Results
Its raw total energy is -2.7195 eV/atom. As for the calculated volume: 48.9 Å³/atom. The total moment comes out at 0.000 μB/f.u. As for the density of states at the Fermi level: 0.00 states/eV/cell. The formation energy from raw total energies is -1.20 eV per atom.

(8)
VASP calculation (PBE) on a relaxed structure of NaTbMgI6.

Cell and atoms, written as CIF:
```
data_NaTbMgI6
_chemical_formula_sum 'Na2 Tb2 Mg2 I12'
_cell_length_a 7.6429
_cell_length_b 7.6429
_cell_length_c 14.4851
_cell_angle_alpha 90.00
_cell_angle_beta 90.00
_cell_angle_gamma 120.00
_space_group_name_H-M_alt 'P -3 1 c'
_space_group_IT_number 163
_space_group_name_Hall '-P 3 2c'
loop_
_atom_site_label
_atom_site_type_symbol
_atom_site_fract_x
_atom_site_fract_y
_atom_site_fract_z
Na1 Na 0.0000 0.0000 0.0000
Tb1 Tb 0.3333 0.6667 0.2500
Mg1 Mg 0.3333 0.6667 0.7500
I1 I 0.0098 0.3609 0.6315
```

Results
Its raw total energy is -3.0986 eV/atom. As for the calculated volume: 40.7 Å³/atom. The total moment comes out at 0.000 μB/f.u. As for the density of states at the Fermi level: 0.00 states/eV/cell. The formation energy from raw total energies is -1.23 eV per atom.